Record 1
Below is CaP5 at its PBEsol-relaxed geometry, with properties calculated at the meta-GGA SCAN level.

The calculation puts the calculated formation energy at 0.08 eV per formula unit. As for the space-group type: P-62m, No. 189.

Unit cell a=6.001 b=6.001 c=3.256 alpha=90.00 beta=90.00 gamma=120.00
Positions (direct):
Ca1 0.000 0.000 0.000
P1 0.000 0.409 0.500
P2 0.333 0.667 0.000
P3 0.409 0.000 0.500
P4 0.591 0.591 0.500
P5 0.667 0.333 0.000


Record 2
Below is Ca5P3 at its PBEsol-relaxed geometry, with properties calculated at the meta-GGA SCAN level.

The calculation puts the calculated formation energy at -8.29 eV per formula unit. As for the space-group type: Cmmm, No. 65.

Unit cell a=6.925 b=6.925 c=4.437 alpha=90.00 beta=90.00 gamma=113.56
Positions (direct):
Ca1 0.000 0.000 0.000
Ca2 0.000 0.500 0.000
Ca3 0.288 0.288 0.500
Ca4 0.500 0.000 0.000
Ca5 0.712 0.712 0.500
P1 0.169 0.831 0.500
P2 0.500 0.500 0.000
P3 0.831 0.169 0.500


Record 3
Below is Ca2P at its PBEsol-relaxed geometry, with properties calculated at the meta-GGA SCAN level.

The calculation puts the calculated formation energy at -2.98 eV per formula unit. As for the space-group type: Cmc2_1, No. 36.

Unit cell a=6.428 b=6.428 c=6.440 alpha=90.00 beta=90.00 gamma=143.61
Positions (direct):
Ca1 0.003 0.997 0.500
Ca2 0.278 0.722 0.281
Ca3 0.722 0.278 0.781
Ca4 0.997 0.003 0.000
P1 0.385 0.615 0.742
P2 0.615 0.385 0.242


Number 1: uncorrected energy -10.263 eV/atom. Number 2: uncorrected energy -10.976 eV/atom. Number 3: uncorrected energy -10.903 eV/atom.